Entry 1:
DFT (PBEsol) results for a relaxed Cs2RbAgPt crystal.

Unit cell a=6.2320 b=6.4026 c=6.4026 alpha=90.00 beta=90.00 gamma=90.00
Positions (direct):
Rb1 0.5000 0.0000 0.0000
Pt1 0.0000 0.0000 0.0000
Cs1 0.0000 0.0000 0.5000
Cs2 0.0000 0.5000 0.0000
Ag1 0.5000 0.5000 0.5000

**Symmetry**: P4/mmm, No. 123
**Calculated total energy**: -12.021 eV per formula unit
**Spin magnetization**: 0.0000 μB/atom



Entry 2:
DFT (PBEsol) results for a relaxed Cs2RbAg2 crystal.

Unit cell a=4.6867 b=9.9798 c=9.9798 alpha=90.00 beta=90.00 gamma=90.00
Positions (direct):
Ag1 0.0000 0.3458 0.8458
Ag2 0.0000 0.1542 0.3458
Ag3 0.0000 0.6542 0.1542
Ag4 0.0000 0.8458 0.6542
Rb1 0.0000 0.0000 0.0000
Rb2 0.0000 0.5000 0.5000
Cs1 0.5000 0.6420 0.8580
Cs2 0.5000 0.8580 0.3580
Cs3 0.5000 0.1420 0.6420
Cs4 0.5000 0.3580 0.1420

**Symmetry**: P4/mbm, No. 127
**Calculated total energy**: -8.719 eV per formula unit
**Spin magnetization**: 0.0000 μB/atom



Entry 3:
DFT (PBEsol) results for a relaxed CsRb2Ag2 crystal.

Unit cell a=5.5182 b=5.5182 c=8.3580 alpha=109.28 beta=109.28 gamma=90.00
Positions (direct):
Rb1 0.7500 0.2500 0.5000
Rb2 0.2500 0.7500 0.5000
Cs1 0.0000 0.0000 0.0000
Ag1 0.5917 0.5917 0.1834
Ag2 0.4083 0.4083 0.8166

**Symmetry**: I4/mmm, No. 139
**Calculated total energy**: -8.712 eV per formula unit
**Spin magnetization**: 0.0000 μB/atom



Entry 4:
DFT (PBEsol) results for a relaxed Cs3RbAg crystal.

Unit cell a=7.2982 b=7.2982 c=7.2982 alpha=90.00 beta=90.00 gamma=90.00
Positions (direct):
Cs1 0.0000 0.0000 0.5000
Cs2 0.5000 0.0000 0.0000
Cs3 0.0000 0.5000 0.0000
Ag1 0.0000 0.0000 0.0000
Rb1 0.5000 0.5000 0.5000

**Symmetry**: Pm-3m, No. 221
**Calculated total energy**: -6.698 eV per formula unit
**Spin magnetization**: 0.0010 μB/atom



Entry 5:
DFT (PBEsol) results for a relaxed Cs2RbAg2 crystal.

Unit cell a=5.5427 b=5.5427 c=8.5337 alpha=108.95 beta=108.95 gamma=90.00
Positions (direct):
Cs1 0.2500 0.7500 0.5000
Cs2 0.7500 0.2500 0.5000
Rb1 0.0000 0.0000 0.0000
Ag1 0.4103 0.4103 0.8206
Ag2 0.5897 0.5897 0.1794

**Symmetry**: I4/mmm, No. 139
**Calculated total energy**: -8.415 eV per formula unit
**Spin magnetization**: 0.0000 μB/atom



Entry 6:
DFT (PBEsol) results for a relaxed CsRb3Ag crystal.

Unit cell a=7.0501 b=7.0501 c=7.0501 alpha=90.00 beta=90.00 gamma=90.00
Positions (direct):
Rb1 0.0000 0.5000 0.0000
Rb2 0.0000 0.0000 0.5000
Rb3 0.5000 0.0000 0.0000
Cs1 0.5000 0.5000 0.5000
Ag1 0.0000 0.0000 0.0000

**Symmetry**: Pm-3m, No. 221
**Calculated total energy**: -6.774 eV per formula unit
**Spin magnetization**: 0.0000 μB/atom



Q: Which formula does entry 2 have?
A: Cs2RbAg2